# Zn2CuSbSe PBE optimized geometry
# Uncorrected formation energy, eV/atom: 0.68
# Volume, Å³/cell: 133.6
# Mass density, g cm⁻³: 4.9
# N(E_F), states/eV/atom: 0.50
# M_tot, μB per cell: 0.0
# Total DFT energy (no corrections), eV/atom: -2.1705
data_Zn2CuSbSe
_symmetry_space_group_name_H-M 'P 4/m m m'
_symmetry_Int_Tables_number 123
_symmetry_space_group_name_Hall '-P 4 2'
_cell_length_a 4.841
_cell_length_b 4.841
_cell_length_c 5.700
_cell_angle_alpha 90.00
_cell_angle_beta 90.00
_cell_angle_gamma 90.00
loop_
_atom_site_label
_atom_site_type_symbol
_atom_site_fract_x
_atom_site_fract_y
_atom_site_fract_z
Zn1 Zn 0.000 0.500 0.000
Cu1 Cu 0.000 0.000 0.500
Sb1 Sb 0.500 0.500 0.500
Se1 Se 0.500 0.500 0.000